Compound: ZnOs2W
Source: Alexandria
Functional: PBE
Structure: relaxed

Geometry as CIF:
```
data_ZnOs2W
_chemical_formula_sum 'Zn4 Os8 W4'
_symmetry_space_group_name_H-M 'F -4 3 m'
_symmetry_Int_Tables_number 216
_symmetry_space_group_name_Hall 'F -4 2 3'
_cell_length_a 6.1904
_cell_length_b 6.1904
_cell_length_c 6.1904
_cell_angle_alpha 90.00
_cell_angle_beta 90.00
_cell_angle_gamma 90.00
loop_
_atom_site_label
_atom_site_fract_x
_atom_site_fract_y
_atom_site_fract_z
Zn1 0.0000 0.0000 0.0000
Os1 0.0000 0.0000 0.5000
Os2 0.2500 0.2500 0.2500
W1 0.2500 0.2500 0.7500
```

Output
- size of the total moment (μB per cell) = 0.00
- ρ (Mg/m³) = 17.6
- DFT formation energy (kJ/mol of atoms) = 46